Entry 1:
## Al2WSe (PBE-GGA)

Data for crystalline Al2WSe at its relaxed geometry.

**D(E_F)**: 0.88 states/eV/atom
**Formation energy from raw total energies**: 9.7 kcal/mol of atoms
**Mass density**: 7.97 g/cm³

CIF file:
```
data_Al2WSe
_chemical_formula_sum 'Al4 W2 Se2'
_space_group_name_H-M_alt 'I -4 m 2'
_space_group_IT_number 119
_space_group_name_Hall 'I -4 -2'
_cell_length_a 3.980
_cell_length_b 3.980
_cell_length_c 8.332
_cell_angle_alpha 90.00
_cell_angle_beta 90.00
_cell_angle_gamma 90.00
loop_
_atom_site_label
_atom_site_type_symbol
_atom_site_fract_x
_atom_site_fract_y
_atom_site_fract_z
Al1 Al 0.000 0.000 0.000
Al2 Al 0.000 0.500 0.250
W1 W 0.000 0.000 0.500
Se1 Se 0.000 0.500 0.750
```

Entry 2:
## Al2WSe (PBE-GGA)

Data for crystalline Al2WSe at its relaxed geometry.

**D(E_F)**: 0.46 states/eV/atom
**Formation energy from raw total energies**: 3.2 kcal/mol of atoms
**Mass density**: 8.03 g/cm³

CIF file:
```
data_Al2WSe
_chemical_formula_sum 'Al4 W2 Se2'
_space_group_name_H-M_alt 'C m m m'
_space_group_IT_number 65
_space_group_name_Hall '-C 2 2'
_cell_length_a 5.907
_cell_length_b 7.767
_cell_length_c 2.856
_cell_angle_alpha 90.00
_cell_angle_beta 90.00
_cell_angle_gamma 90.00
loop_
_atom_site_label
_atom_site_type_symbol
_atom_site_fract_x
_atom_site_fract_y
_atom_site_fract_z
Al1 Al 0.250 0.250 0.000
W1 W 0.000 0.000 0.500
Se1 Se 0.000 0.500 0.500
```

Entry 3:
## Al2WSe (PBE-GGA)

Data for crystalline Al2WSe at its relaxed geometry.

**D(E_F)**: 0.54 states/eV/atom
**Formation energy from raw total energies**: 5.2 kcal/mol of atoms
**Mass density**: 7.84 g/cm³

CIF file:
```
data_Al2WSe
_chemical_formula_sum 'Al4 W2 Se2'
_space_group_name_H-M_alt 'I m m 2'
_space_group_IT_number 44
_space_group_name_Hall 'I 2 -2'
_cell_length_a 3.075
_cell_length_b 4.836
_cell_length_c 9.027
_cell_angle_alpha 90.00
_cell_angle_beta 90.00
_cell_angle_gamma 90.00
loop_
_atom_site_label
_atom_site_type_symbol
_atom_site_fract_x
_atom_site_fract_y
_atom_site_fract_z
Al1 Al 0.000 0.000 0.000
Al2 Al 0.000 0.500 0.240
W1 W 0.000 0.000 0.485
Se1 Se 0.000 0.500 0.760
```

Entry 4:
## AlWSe2 (PBE-GGA)

Data for crystalline AlWSe2 at its relaxed geometry.

**D(E_F)**: 0.59 states/eV/atom
**Formation energy from raw total energies**: 6.9 kcal/mol of atoms
**Mass density**: 8.40 g/cm³

CIF file:
```
data_AlWSe2
_chemical_formula_sum 'Al1 W1 Se2'
_space_group_name_H-M_alt 'P 1 2/m 1'
_space_group_IT_number 10
_space_group_name_Hall '-P 2y'
_cell_length_a 4.254
_cell_length_b 3.281
_cell_length_c 5.228
_cell_angle_alpha 90.00
_cell_angle_beta 92.04
_cell_angle_gamma 90.00
loop_
_atom_site_label
_atom_site_type_symbol
_atom_site_fract_x
_atom_site_fract_y
_atom_site_fract_z
Al1 Al 0.000 0.000 0.000
W1 W 0.500 0.500 0.500
Se1 Se 0.000 0.000 0.500
Se2 Se 0.500 0.500 0.000
```

Entry 5:
## Al2WSe (PBE-GGA)

Data for crystalline Al2WSe at its relaxed geometry.

**D(E_F)**: 0.52 states/eV/atom
**Formation energy from raw total energies**: 1.1 kcal/mol of atoms
**Mass density**: 7.79 g/cm³

CIF file:
```
data_Al2WSe
_chemical_formula_sum 'Al4 W2 Se2'
_space_group_name_H-M_alt 'A m m 2'
_space_group_IT_number 38
_space_group_name_Hall 'A 2 -2'
_cell_length_a 4.334
_cell_length_b 3.180
_cell_length_c 9.797
_cell_angle_alpha 90.00
_cell_angle_beta 90.00
_cell_angle_gamma 90.00
loop_
_atom_site_label
_atom_site_type_symbol
_atom_site_fract_x
_atom_site_fract_y
_atom_site_fract_z
Al1 Al 0.000 0.000 0.000
Al2 Al 0.500 0.000 0.325
W1 W 0.000 0.000 0.729
Se1 Se 0.500 0.000 0.587
```

Entry 6:
## Al2WSe (PBE-GGA)

Data for crystalline Al2WSe at its relaxed geometry.

**D(E_F)**: 0.42 states/eV/atom
**Formation energy from raw total energies**: 2.3 kcal/mol of atoms
**Mass density**: 7.52 g/cm³

CIF file:
```
data_Al2WSe
_chemical_formula_sum 'Al2 W1 Se1'
_space_group_name_H-M_alt 'P 4 m m'
_space_group_IT_number 99
_space_group_name_Hall 'P 4 -2'
_cell_length_a 3.035
_cell_length_b 3.035
_cell_length_c 7.599
_cell_angle_alpha 90.00
_cell_angle_beta 90.00
_cell_angle_gamma 90.00
loop_
_atom_site_label
_atom_site_type_symbol
_atom_site_fract_x
_atom_site_fract_y
_atom_site_fract_z
Al1 Al 0.000 0.000 0.000
Al2 Al 0.500 0.500 0.246
W1 W 0.500 0.500 0.764
Se1 Se 0.000 0.000 0.568
```

Entry 7:
## AlWSe2 (PBE-GGA)

Data for crystalline AlWSe2 at its relaxed geometry.

**D(E_F)**: 0.52 states/eV/atom
**Formation energy from raw total energies**: 8.8 kcal/mol of atoms
**Mass density**: 6.59 g/cm³

CIF file:
```
data_AlWSe2
_chemical_formula_sum 'Al4 W4 Se8'
_space_group_name_H-M_alt 'I -4 2 d'
_space_group_IT_number 122
_space_group_name_Hall 'I -4 2bw'
_cell_length_a 5.890
_cell_length_b 5.890
_cell_length_c 10.715
_cell_angle_alpha 90.00
_cell_angle_beta 90.00
_cell_angle_gamma 90.00
loop_
_atom_site_label
_atom_site_type_symbol
_atom_site_fract_x
_atom_site_fract_y
_atom_site_fract_z
Al1 Al 0.000 0.000 0.000
W1 W 0.000 0.000 0.500
Se1 Se 0.247 0.250 0.125
```

Entry 8:
## AlW4Se (PBE-GGA)

Data for crystalline AlW4Se at its relaxed geometry.

**D(E_F)**: 0.63 states/eV/atom
**Formation energy from raw total energies**: 16.5 kcal/mol of atoms
**Mass density**: 13.12 g/cm³

CIF file:
```
data_AlW4Se
_chemical_formula_sum 'Al4 W16 Se4'
_space_group_name_H-M_alt 'F -4 3 m'
_space_group_IT_number 216
_space_group_name_Hall 'F -4 2 3'
_cell_length_a 7.524
_cell_length_b 7.524
_cell_length_c 7.524
_cell_angle_alpha 90.00
_cell_angle_beta 90.00
_cell_angle_gamma 90.00
loop_
_atom_site_label
_atom_site_type_symbol
_atom_site_fract_x
_atom_site_fract_y
_atom_site_fract_z
Al1 Al 0.000 0.000 0.000
W1 W 0.124 0.124 0.376
Se1 Se 0.250 0.250 0.750
```